Entry 1:
CdBSe2N, optimized geometry, DFT PBE; formation energy from raw total energies = 5.4 kJ/mol of atoms; N(E_F) = 3.3 states/eV/cell; E above lowest polymorph = 0.000 eV/f.u.; volume = 108 Å³ per cell; total DFT energy (no corrections) = -22.61 eV/cell; theoretical density = 4.5 g cm⁻³; total magnetic moment = 0.00 μB per cell
1.0
-5.2110 -1.1949 3.5444
-2.4886 -3.4301 -4.8152
1.1404 -2.1593 0.9488
N Se B Cd
1 2 1 1
direct
0.0000 0.0000 0.5000 N
0.5000 0.0000 0.0000 Se
0.0000 0.5000 0.0000 Se
0.0000 0.0000 0.0000 B
0.5000 0.5000 0.5000 Cd

Entry 2:
Re2BrF, optimized geometry, DFT PBE; formation energy from raw total energies = 129.3 kJ/mol of atoms; N(E_F) = 6.3 states/eV/cell; E above lowest polymorph = 0.000 eV/f.u.; volume = 56 Å³ per cell; total DFT energy (no corrections) = -23.08 eV/cell; theoretical density = 13.9 g cm⁻³; total magnetic moment = 0.00 μB per cell
1.0
0.0000 3.0438 3.0438
3.0438 0.0000 3.0438
3.0438 3.0438 0.0000
F Br Re
1 1 2
direct
0.0000 0.0000 0.0000 F
0.5000 0.5000 0.5000 Br
0.7500 0.7500 0.7500 Re
0.2500 0.2500 0.2500 Re

Entry 3:
Ag2Sb2Te5, optimized geometry, DFT PBE; formation energy from raw total energies = 0.8 kJ/mol of atoms; N(E_F) = 3.3 states/eV/cell; volume = 560 Å³ per cell; total DFT energy (no corrections) = -59.16 eV/cell; theoretical density = 6.5 g cm⁻³; total magnetic moment = 0.00 μB per cell
1.0
-2.7487 -7.3911 -2.6888
7.3686 -2.8794 0.3823
-3.6683 2.7236 9.1712
Te Ag Sb
10 4 4
direct
0.6823 0.7082 0.6749 Te
0.1171 0.6699 0.5000 Te
0.2276 0.7153 0.9271 Te
0.8005 0.2882 0.0729 Te
0.4926 0.2082 0.6749 Te
0.5074 0.5333 0.3251 Te
0.8829 0.1699 0.5000 Te
0.1995 0.2153 0.9271 Te
0.3177 0.0333 0.3251 Te
0.7724 0.7882 0.0729 Te
0.8150 0.8250 0.5000 Ag
0.5000 0.4952 0.0000 Ag
0.1850 0.3250 0.5000 Ag
0.0000 0.9952 0.0000 Ag
0.3971 0.9474 0.7938 Sb
0.6029 0.1536 0.2062 Sb
0.1033 0.6536 0.2062 Sb
0.8967 0.4474 0.7938 Sb

Entry 4:
KBaLa, optimized geometry, DFT PBE; formation energy from the elements = 244 meV/atom; N(E_F) = 4.2 states/eV/cell; E above lowest polymorph = 0.302 eV/f.u.; volume = 157 Å³ per cell; total DFT energy (no corrections) = -7.22 eV/cell; theoretical density = 3.3 g cm⁻³; total magnetic moment = 0.65 μB per cell
1.0
-2.9248 1.2247 2.5715
-0.8992 -0.7334 -3.9142
-2.1934 -10.3809 2.4491
K La Ba
1 1 1
direct
0.3333 0.6667 0.3437 K
0.6667 0.3333 0.6821 La
0.0000 0.0000 0.9743 Ba

Entry 5:
BaHfHO2, optimized geometry, DFT PBE; N(E_F) = 1.0 states/eV/cell; volume = 72 Å³ per cell; total DFT energy (no corrections) = -36.28 eV/cell; theoretical density = 8.0 g cm⁻³; total magnetic moment = 0.00 μB per cell
1.0
-3.4900 1.5890 1.8128
-0.8904 -3.8138 1.6288
2.1257 0.9106 3.2942
H O Ba Hf
1 2 1 1
direct
0.0000 0.0000 0.5000 H
0.5000 0.0000 0.0000 O
0.0000 0.5000 0.0000 O
0.5000 0.5000 0.5000 Ba
0.0000 0.0000 0.0000 Hf

Entry 6:
TaTi2Si2, optimized geometry, DFT PBE; formation energy from raw total energies = -72.8 kJ/mol of atoms; N(E_F) = 4.7 states/eV/cell; volume = 153 Å³ per cell; total DFT energy (no corrections) = -84.53 eV/cell; theoretical density = 7.2 g cm⁻³; total magnetic moment = 0.00 μB per cell
1.0
6.7197 0.0000 0.0000
0.0000 6.7197 0.0000
0.0000 0.0000 3.3952
Si Ta Ti
4 2 4
direct
0.8736 0.6264 0.0000 Si
0.1264 0.3736 0.0000 Si
0.6264 0.1264 0.0000 Si
0.3736 0.8736 0.0000 Si
0.0000 0.0000 0.0000 Ta
0.5000 0.5000 0.0000 Ta
0.3274 0.1726 0.5000 Ti
0.6726 0.8274 0.5000 Ti
0.8274 0.3274 0.5000 Ti
0.1726 0.6726 0.5000 Ti